No. 1
Compound: PmSm2InN
Source: Alexandria via LeMat-Bulk
Functional: GGA-PBE
Structure: relaxed

Uncorrected formation energy: -0.91 eV per atom
Crystal system: tetragonal
DOS(E_F): 2.59 states/eV/cell
Magnetization: 0.00 μB/cell

The structure in CIF format:
```
data_PmSm2InN
_symmetry_space_group_name_H-M 'P 4/m m m'
_symmetry_Int_Tables_number 123
_symmetry_space_group_name_Hall '-P 4 2'
_cell_length_a 4.9623
_cell_length_b 4.9623
_cell_length_c 4.9911
_cell_angle_alpha 90.00
_cell_angle_beta 90.00
_cell_angle_gamma 90.00
loop_
_atom_site_label
_atom_site_type_symbol
_atom_site_fract_x
_atom_site_fract_y
_atom_site_fract_z
Pm1 Pm 0.0000 0.0000 0.0000
Sm1 Sm 0.0000 0.5000 0.5000
In1 In 0.5000 0.5000 0.0000
N1 N 0.0000 0.0000 0.5000
```



No. 2
Compound: PmSmInN3
Source: Alexandria via LeMat-Bulk
Functional: GGA-PBE
Structure: relaxed

Uncorrected formation energy: -0.83 eV per atom
Crystal system: monoclinic
DOS(E_F): 0.04 states/eV/cell
Magnetization: 0.00 μB/cell

The structure in CIF format:
```
data_PmSmInN3
_symmetry_space_group_name_H-M 'P 1 21/m 1'
_symmetry_Int_Tables_number 11
_cell_length_a 6.0281
_cell_length_b 3.4656
_cell_length_c 8.9199
_cell_angle_alpha 90.00
_cell_angle_beta 99.00
_cell_angle_gamma 90.00
loop_
_symmetry_equiv_pos_as_xyz
'x,y,z'
'-x,-y,-z'
'-x,y+1/2,-z'
'x,-y+1/2,z'
loop_
_atom_site_label
_atom_site_type_symbol
_atom_site_fract_x
_atom_site_fract_y
_atom_site_fract_z
Pm1 Pm 0.2376 0.2500 0.4482
Sm1 Sm 0.3387 0.7500 0.8103
In1 In 0.1536 0.7500 0.1393
N1 N 0.0436 0.2500 0.6690
N2 N 0.2557 0.2500 0.0107
N3 N 0.4654 0.7500 0.3310
```



No. 3
Compound: TbPm2InN
Source: Alexandria via LeMat-Bulk
Functional: GGA-PBE
Structure: relaxed

Uncorrected formation energy: -0.92 eV per atom
Crystal system: tetragonal
DOS(E_F): 2.48 states/eV/cell
Magnetization: 0.00 μB/cell

The structure in CIF format:
```
data_TbPm2InN
_symmetry_space_group_name_H-M 'P 4/m m m'
_symmetry_Int_Tables_number 123
_symmetry_space_group_name_Hall '-P 4 2'
_cell_length_a 4.9943
_cell_length_b 4.9943
_cell_length_c 4.8544
_cell_angle_alpha 90.00
_cell_angle_beta 90.00
_cell_angle_gamma 90.00
loop_
_atom_site_label
_atom_site_type_symbol
_atom_site_fract_x
_atom_site_fract_y
_atom_site_fract_z
Tb1 Tb 0.0000 0.0000 0.0000
Pm1 Pm 0.0000 0.5000 0.5000
In1 In 0.5000 0.5000 0.0000
N1 N 0.0000 0.0000 0.5000
```



No. 4
Compound: Tb2PmInN4
Source: Alexandria via LeMat-Bulk
Functional: GGA-PBE
Structure: relaxed

Uncorrected formation energy: -1.09 eV per atom
Crystal system: monoclinic
Magnetization: 0.00 μB/cell

The structure in CIF format:
```
data_Tb2PmInN4
_symmetry_space_group_name_H-M 'P 1 2/m 1'
_symmetry_Int_Tables_number 10
_cell_length_a 6.0596
_cell_length_b 3.5020
_cell_length_c 6.0958
_cell_angle_alpha 90.00
_cell_angle_beta 110.70
_cell_angle_gamma 90.00
loop_
_symmetry_equiv_pos_as_xyz
'x,y,z'
'-x,-y,-z'
'-x,y,-z'
'x,-y,z'
loop_
_atom_site_label
_atom_site_type_symbol
_atom_site_fract_x
_atom_site_fract_y
_atom_site_fract_z
Tb1 Tb 0.0000 0.0000 0.0000
Tb2 Tb 0.5000 0.5000 0.0000
Pm1 Pm 0.0000 0.5000 0.5000
In1 In 0.5000 0.0000 0.5000
N1 N 0.2456 0.0000 0.7645
N2 N 0.2546 0.5000 0.2493
```



No. 5
Compound: Tb2PmInN
Source: Alexandria via LeMat-Bulk
Functional: GGA-PBE
Structure: relaxed

Uncorrected formation energy: -0.95 eV per atom
Crystal system: tetragonal
DOS(E_F): 2.52 states/eV/cell
Magnetization: 0.00 μB/cell

The structure in CIF format:
```
data_Tb2PmInN
_symmetry_space_group_name_H-M 'P 4/m m m'
_symmetry_Int_Tables_number 123
_symmetry_space_group_name_Hall '-P 4 2'
_cell_length_a 4.8584
_cell_length_b 4.8584
_cell_length_c 4.9828
_cell_angle_alpha 90.00
_cell_angle_beta 90.00
_cell_angle_gamma 90.00
loop_
_atom_site_label
_atom_site_type_symbol
_atom_site_fract_x
_atom_site_fract_y
_atom_site_fract_z
Tb1 Tb 0.0000 0.5000 0.0000
Pm1 Pm 0.0000 0.0000 0.5000
In1 In 0.5000 0.5000 0.5000
N1 N 0.0000 0.0000 0.0000
```



No. 6
Compound: TbPm2InN4
Source: Alexandria via LeMat-Bulk
Functional: GGA-PBE
Structure: relaxed

Uncorrected formation energy: -1.03 eV per atom
Crystal system: monoclinic
Magnetization: 0.00 μB/cell

The structure in CIF format:
```
data_TbPm2InN4
_symmetry_space_group_name_H-M 'P 1 2/m 1'
_symmetry_Int_Tables_number 10
_cell_length_a 6.1116
_cell_length_b 3.5307
_cell_length_c 6.1455
_cell_angle_alpha 90.00
_cell_angle_beta 110.89
_cell_angle_gamma 90.00
loop_
_symmetry_equiv_pos_as_xyz
'x,y,z'
'-x,-y,-z'
'-x,y,-z'
'x,-y,z'
loop_
_atom_site_label
_atom_site_type_symbol
_atom_site_fract_x
_atom_site_fract_y
_atom_site_fract_z
Tb1 Tb 0.0000 0.0000 0.0000
Pm1 Pm 0.5000 0.0000 0.5000
Pm2 Pm 0.5000 0.5000 0.0000
In1 In 0.0000 0.5000 0.5000
N1 N 0.2409 0.0000 0.7463
N2 N 0.2514 0.5000 0.2386
```



No. 7
Compound: Pm2ThInN
Source: Alexandria via LeMat-Bulk
Functional: GGA-PBE
Structure: relaxed

Uncorrected formation energy: -0.86 eV per atom
Crystal system: tetragonal
DOS(E_F): 1.59 states/eV/cell
Magnetization: 0.00 μB/cell

The structure in CIF format:
```
data_Pm2ThInN
_symmetry_space_group_name_H-M 'P 4/m m m'
_symmetry_Int_Tables_number 123
_symmetry_space_group_name_Hall '-P 4 2'
_cell_length_a 5.0522
_cell_length_b 5.0522
_cell_length_c 4.8846
_cell_angle_alpha 90.00
_cell_angle_beta 90.00
_cell_angle_gamma 90.00
loop_
_atom_site_label
_atom_site_type_symbol
_atom_site_fract_x
_atom_site_fract_y
_atom_site_fract_z
Pm1 Pm 0.0000 0.5000 0.0000
Th1 Th 0.0000 0.0000 0.5000
In1 In 0.5000 0.5000 0.5000
N1 N 0.0000 0.0000 0.0000
```



No. 8
Compound: PmTh2InN
Source: Alexandria via LeMat-Bulk
Functional: GGA-PBE
Structure: relaxed

Uncorrected formation energy: -0.79 eV per atom
Crystal system: tetragonal
DOS(E_F): 4.34 states/eV/cell
Magnetization: 0.00 μB/cell

The structure in CIF format:
```
data_PmTh2InN
_symmetry_space_group_name_H-M 'P 4/m m m'
_symmetry_Int_Tables_number 123
_symmetry_space_group_name_Hall '-P 4 2'
_cell_length_a 4.9523
_cell_length_b 4.9523
_cell_length_c 5.1202
_cell_angle_alpha 90.00
_cell_angle_beta 90.00
_cell_angle_gamma 90.00
loop_
_atom_site_label
_atom_site_type_symbol
_atom_site_fract_x
_atom_site_fract_y
_atom_site_fract_z
Pm1 Pm 0.0000 0.0000 0.0000
Th1 Th 0.0000 0.5000 0.5000
In1 In 0.5000 0.5000 0.0000
N1 N 0.0000 0.0000 0.5000
```